No. 1
Compound: Te5Ir
Source: Alexandria via LeMat-Bulk
Functional: SCAN
Structure: PBEsol geometry

```
data_Te5Ir
_symmetry_space_group_name_H-M 'P 1'
_symmetry_Int_Tables_number 1
_cell_length_a 6.571
_cell_length_b 6.571
_cell_length_c 7.679
_cell_angle_alpha 119.69
_cell_angle_beta 119.69
_cell_angle_gamma 35.95
loop_
_symmetry_equiv_pos_as_xyz
'x,y,z'
loop_
_atom_site_label
_atom_site_type_symbol
_atom_site_fract_x
_atom_site_fract_y
_atom_site_fract_z
_atom_site_occupancy
Te1 Te 0.000 0.000 0.000 1
Te2 Te 0.126 0.126 0.752 1
Te3 Te 0.347 0.347 0.641 1
Te4 Te 0.653 0.653 0.359 1
Te5 Te 0.874 0.874 0.248 1
Ir1 Ir 0.500 0.500 0.500 1
```

No. 2
Compound: Ba2LiSi2
Source: Alexandria via LeMat-Bulk
Functional: SCAN
Structure: PBEsol geometry

```
data_Ba2LiSi2
_symmetry_space_group_name_H-M 'P 1'
_symmetry_Int_Tables_number 1
_cell_length_a 5.895
_cell_length_b 5.895
_cell_length_c 5.895
_cell_angle_alpha 113.47
_cell_angle_beta 113.47
_cell_angle_gamma 101.73
loop_
_symmetry_equiv_pos_as_xyz
'x,y,z'
loop_
_atom_site_label
_atom_site_type_symbol
_atom_site_fract_x
_atom_site_fract_y
_atom_site_fract_z
_atom_site_occupancy
Ba1 Ba 0.250 0.750 0.500 1
Ba2 Ba 0.750 0.250 0.500 1
Li1 Li 0.000 0.000 0.000 1
Si1 Si 0.346 0.346 0.000 1
Si2 Si 0.654 0.654 0.000 1
```

ΔE_f (raw), record by record: -0.17 0.00 eV per atom